# PBE-GGA CsRbHgI4, optimized geometry
# Calculated volume in Å³/atom: 51.7
# Formation energy (no corrections) in meV/atom: -1024
# Mass density in g cm⁻³: 4.25
# D(E_F) in states/eV/cell: 0.0
data_CsRbHgI4
_space_group_name_H-M_alt 'P 1 21/m 1'
_space_group_IT_number 11
_cell_length_a 8.449
_cell_length_b 8.491
_cell_length_c 10.624
_cell_angle_alpha 90.00
_cell_angle_beta 108.21
_cell_angle_gamma 90.00
loop_
_space_group_symop_operation_xyz
'x,y,z'
'-x,-y,-z'
'-x,y+1/2,-z'
'x,-y+1/2,z'
loop_
_atom_site_label
_atom_site_type_symbol
_atom_site_fract_x
_atom_site_fract_y
_atom_site_fract_z
Cs1 Cs 0.244 0.250 0.435
Rb1 Rb 0.269 0.250 0.943
Hg1 Hg 0.284 0.750 0.193
I1 I 0.090 0.750 0.922
I2 I 0.093 0.750 0.371
I3 I 0.489 0.511 0.751



# PBE-GGA Cs2RbHgI, optimized geometry
# Calculated volume in Å³/atom: 80.5
# Formation energy (no corrections) in meV/atom: -541
# Mass density in g cm⁻³: 2.80
# D(E_F) in states/eV/cell: 3.2
# E above lowest polymorph in meV/atom: 0.0
data_Cs2RbHgI
_space_group_name_H-M_alt 'P 4/m m m'
_space_group_IT_number 123
_space_group_name_Hall '-P 4 2'
_cell_length_a 7.513
_cell_length_b 7.513
_cell_length_c 7.130
_cell_angle_alpha 90.00
_cell_angle_beta 90.00
_cell_angle_gamma 90.00
loop_
_atom_site_label
_atom_site_type_symbol
_atom_site_fract_x
_atom_site_fract_y
_atom_site_fract_z
Cs1 Cs 0.000 0.500 0.000
Rb1 Rb 0.000 0.000 0.500
Hg1 Hg 0.500 0.500 0.500
I1 I 0.000 0.000 0.000



# PBE-GGA Cs2RbHgI6, optimized geometry
# Calculated volume in Å³/atom: 53.6
# Formation energy (no corrections) in meV/atom: -869
# Mass density in g cm⁻³: 4.07
# D(E_F) in states/eV/cell: 20.9
data_Cs2RbHgI6
_space_group_name_H-M_alt 'F m -3 m'
_space_group_IT_number 225
_space_group_name_Hall '-F 4 2 3'
_cell_length_a 12.893
_cell_length_b 12.893
_cell_length_c 12.893
_cell_angle_alpha 90.00
_cell_angle_beta 90.00
_cell_angle_gamma 90.00
loop_
_atom_site_label
_atom_site_type_symbol
_atom_site_fract_x
_atom_site_fract_y
_atom_site_fract_z
Cs1 Cs 0.250 0.250 0.250
Rb1 Rb 0.000 0.000 0.000
Hg1 Hg 0.000 0.000 0.500
I1 I 0.000 0.000 0.268



# PBE-GGA CsRbHgI, optimized geometry
# Calculated volume in Å³/atom: 50.1
# Formation energy (no corrections) in meV/atom: -712
# Mass density in g cm⁻³: 4.52
# D(E_F) in states/eV/cell: 15.1
data_CsRbHgI
_space_group_name_H-M_alt 'F -4 3 m'
_space_group_IT_number 216
_space_group_name_Hall 'F -4 2 3'
_cell_length_a 9.291
_cell_length_b 9.291
_cell_length_c 9.291
_cell_angle_alpha 90.00
_cell_angle_beta 90.00
_cell_angle_gamma 90.00
loop_
_atom_site_label
_atom_site_type_symbol
_atom_site_fract_x
_atom_site_fract_y
_atom_site_fract_z
Cs1 Cs 0.000 0.000 0.000
Rb1 Rb 0.000 0.000 0.500
Hg1 Hg 0.250 0.250 0.250
I1 I 0.250 0.250 0.750



# PBE-GGA CsRb3Hg4I12, optimized geometry
# Calculated volume in Å³/atom: 64.1
# Formation energy (no corrections) in meV/atom: -765
# Mass density in g cm⁻³: 3.52
# D(E_F) in states/eV/cell: 0.0
data_CsRb3Hg4I12
_space_group_name_H-M_alt 'R 3 2'
_space_group_IT_number 155
_space_group_name_Hall 'R 3 2"'
_cell_length_a 17.1879
_cell_length_b 17.1879
_cell_length_c 15.0363
_cell_angle_alpha 90.00
_cell_angle_beta 90.00
_cell_angle_gamma 120.00
loop_
_atom_site_label
_atom_site_type_symbol
_atom_site_fract_x
_atom_site_fract_y
_atom_site_fract_z
Cs1 Cs 0.0000 0.0000 0.0000
Rb1 Rb 0.0000 0.5325 0.0000
Hg1 Hg 0.0000 0.0000 0.5000
Hg2 Hg 0.0000 0.4536 0.5000
I1 I 0.0000 0.6146 0.5000
I2 I 0.0000 0.8400 0.5000
I3 I 0.0374 0.2085 0.1530



# PBE-GGA CsRb2HgI, optimized geometry
# Calculated volume in Å³/atom: 76.7
# Formation energy (no corrections) in meV/atom: -524
# Mass density in g cm⁻³: 2.73
# D(E_F) in states/eV/cell: 3.0
# E above lowest polymorph in meV/atom: 0.0
data_CsRb2HgI
_space_group_name_H-M_alt 'P 4/m m m'
_space_group_IT_number 123
_space_group_name_Hall '-P 4 2'
_cell_length_a 7.134
_cell_length_b 7.134
_cell_length_c 7.535
_cell_angle_alpha 90.00
_cell_angle_beta 90.00
_cell_angle_gamma 90.00
loop_
_atom_site_label
_atom_site_type_symbol
_atom_site_fract_x
_atom_site_fract_y
_atom_site_fract_z
Cs1 Cs 0.000 0.000 0.000
Rb1 Rb 0.000 0.500 0.500
Hg1 Hg 0.500 0.500 0.000
I1 I 0.000 0.000 0.500



# PBE-GGA CsRbHg2I6, optimized geometry
# Calculated volume in Å³/atom: 59.4
# Formation energy (no corrections) in meV/atom: -790
# Mass density in g cm⁻³: 3.86
# D(E_F) in states/eV/cell: 0.0
data_CsRbHg2I6
_space_group_name_H-M_alt 'C 1 2/c 1'
_space_group_IT_number 15
_cell_length_a 12.795
_cell_length_b 16.521
_cell_length_c 11.550
_cell_angle_alpha 90.00
_cell_angle_beta 103.43
_cell_angle_gamma 90.00
loop_
_space_group_symop_operation_xyz
'x,y,z'
'-x,-y,-z'
'-x,y,-z+1/2'
'x,-y,z+1/2'
'x+1/2,y+1/2,z'
'-x+1/2,-y+1/2,-z'
'-x+1/2,y+1/2,-z+1/2'
'x+1/2,-y+1/2,z+1/2'
loop_
_atom_site_label
_atom_site_type_symbol
_atom_site_fract_x
_atom_site_fract_y
_atom_site_fract_z
Cs1 Cs 0.000 0.055 0.250
Rb1 Rb 0.000 0.444 0.750
Hg1 Hg 0.174 0.354 0.449
I1 I 0.044 0.372 0.066
I2 I 0.206 0.005 0.566
I3 I 0.235 0.220 0.313



# PBE-GGA CsHgRhI2, optimized geometry
# Calculated volume in Å³/atom: 34.5
# Formation energy (no corrections) in meV/atom: -496
# Mass density in g cm⁻³: 6.65
# D(E_F) in states/eV/cell: 1.5
data_CsHgRhI2
_space_group_name_H-M_alt 'P 4/m m m'
_space_group_IT_number 123
_space_group_name_Hall '-P 4 2'
_cell_length_a 5.654
_cell_length_b 5.654
_cell_length_c 5.388
_cell_angle_alpha 90.00
_cell_angle_beta 90.00
_cell_angle_gamma 90.00
loop_
_atom_site_label
_atom_site_type_symbol
_atom_site_fract_x
_atom_site_fract_y
_atom_site_fract_z
Cs1 Cs 0.000 0.000 0.000
Hg1 Hg 0.500 0.500 0.000
Rh1 Rh 0.500 0.500 0.500
I1 I 0.000 0.500 0.500



# PBE-GGA CsHgSb2I, optimized geometry
# Calculated volume in Å³/atom: 46.0
# Formation energy (no corrections) in meV/atom: -9
# Mass density in g cm⁻³: 5.09
# D(E_F) in states/eV/cell: 1.4
# E above lowest polymorph in meV/atom: 0.0
data_CsHgSb2I
_space_group_name_H-M_alt 'P 4/m m m'
_space_group_IT_number 123
_space_group_name_Hall '-P 4 2'
_cell_length_a 5.641
_cell_length_b 5.641
_cell_length_c 7.221
_cell_angle_alpha 90.00
_cell_angle_beta 90.00
_cell_angle_gamma 90.00
loop_
_atom_site_label
_atom_site_type_symbol
_atom_site_fract_x
_atom_site_fract_y
_atom_site_fract_z
Cs1 Cs 0.000 0.000 0.000
Hg1 Hg 0.500 0.500 0.500
Sb1 Sb 0.000 0.500 0.500
I1 I 0.500 0.500 0.000



# PBE-GGA CsHgSb2I, optimized geometry
# Calculated volume in Å³/atom: 59.9
# Formation energy (no corrections) in meV/atom: 836
# Mass density in g cm⁻³: 3.90
# D(E_F) in states/eV/cell: 5.8
# E above lowest polymorph in meV/atom: 844.9
data_CsHgSb2I
_space_group_name_H-M_alt 'P 4/m m m'
_space_group_IT_number 123
_space_group_name_Hall '-P 4 2'
_cell_length_a 6.581
_cell_length_b 6.581
_cell_length_c 6.919
_cell_angle_alpha 90.00
_cell_angle_beta 90.00
_cell_angle_gamma 90.00
loop_
_atom_site_label
_atom_site_type_symbol
_atom_site_fract_x
_atom_site_fract_y
_atom_site_fract_z
Cs1 Cs 0.000 0.000 0.000
Hg1 Hg 0.500 0.500 0.500
Sb1 Sb 0.000 0.500 0.000
I1 I 0.000 0.000 0.500



# PBE-GGA CsHg2Se2I, optimized geometry
# Calculated volume in Å³/atom: 45.9
# Formation energy (no corrections) in meV/atom: -609
# Mass density in g cm⁻³: 4.93
# D(E_F) in states/eV/cell: 0.0
data_CsHg2Se2I
_space_group_name_H-M_alt 'P 1 21/m 1'
_space_group_IT_number 11
_cell_length_a 7.723
_cell_length_b 7.349
_cell_length_c 10.169
_cell_angle_alpha 90.00
_cell_angle_beta 107.20
_cell_angle_gamma 90.00
loop_
_space_group_symop_operation_xyz
'x,y,z'
'-x,-y,-z'
'-x,y+1/2,-z'
'x,-y+1/2,z'
loop_
_atom_site_label
_atom_site_type_symbol
_atom_site_fract_x
_atom_site_fract_y
_atom_site_fract_z
Cs1 Cs 0.245 0.250 0.032
Hg1 Hg 0.285 0.506 0.620
Se1 Se 0.080 0.250 0.641
Se2 Se 0.496 0.750 0.587
I1 I 0.231 0.750 0.912



# PBE-GGA CsHg2SeI, optimized geometry
# Calculated volume in Å³/atom: 45.1
# Formation energy (no corrections) in meV/atom: -596
# Mass density in g cm⁻³: 5.45
# D(E_F) in states/eV/cell: 2.1
data_CsHg2SeI
_space_group_name_H-M_alt 'P 4/m m m'
_space_group_IT_number 123
_space_group_name_Hall '-P 4 2'
_cell_length_a 5.491
_cell_length_b 5.491
_cell_length_c 7.477
_cell_angle_alpha 90.00
_cell_angle_beta 90.00
_cell_angle_gamma 90.00
loop_
_atom_site_label
_atom_site_type_symbol
_atom_site_fract_x
_atom_site_fract_y
_atom_site_fract_z
Cs1 Cs 0.000 0.000 0.000
Hg1 Hg 0.000 0.500 0.500
Se1 Se 0.000 0.000 0.500
I1 I 0.500 0.500 0.000



# PBE-GGA Cs2HgSeI6, optimized geometry
# Calculated volume in Å³/atom: 44.4
# Formation energy (no corrections) in meV/atom: -671
# Mass density in g cm⁻³: 4.88
# D(E_F) in states/eV/cell: 1.2
data_Cs2HgSeI6
_space_group_name_H-M_alt 'I 4/m m m'
_space_group_IT_number 139
_space_group_name_Hall '-I 4 2'
_cell_length_a 8.512
_cell_length_b 8.512
_cell_length_c 12.269
_cell_angle_alpha 90.00
_cell_angle_beta 90.00
_cell_angle_gamma 90.00
loop_
_atom_site_label
_atom_site_type_symbol
_atom_site_fract_x
_atom_site_fract_y
_atom_site_fract_z
Cs1 Cs 0.000 0.500 0.250
Hg1 Hg 0.000 0.000 0.000
Se1 Se 0.000 0.000 0.500
I1 I 0.000 0.000 0.269
I2 I 0.249 0.249 0.500



# PBE-GGA Cs2SmHgI6, optimized geometry
# Calculated volume in Å³/atom: 50.4
# Formation energy (no corrections) in meV/atom: -1174
# Mass density in g cm⁻³: 4.54
# D(E_F) in states/eV/cell: 8.3
data_Cs2SmHgI6
_space_group_name_H-M_alt 'I 4/m m m'
_space_group_IT_number 139
_space_group_name_Hall '-I 4 2'
_cell_length_a 8.946
_cell_length_b 8.946
_cell_length_c 12.589
_cell_angle_alpha 90.00
_cell_angle_beta 90.00
_cell_angle_gamma 90.00
loop_
_atom_site_label
_atom_site_type_symbol
_atom_site_fract_x
_atom_site_fract_y
_atom_site_fract_z
Cs1 Cs 0.000 0.500 0.250
Sm1 Sm 0.000 0.000 0.000
Hg1 Hg 0.000 0.000 0.500
I1 I 0.000 0.000 0.245
I2 I 0.243 0.243 0.000



# PBE-GGA CsSmHgI6, optimized geometry
# Calculated volume in Å³/atom: 53.4
# Formation energy (no corrections) in meV/atom: -1053
# Mass density in g cm⁻³: 4.30
# D(E_F) in states/eV/cell: 0.0
data_CsSmHgI6
_space_group_name_H-M_alt 'C 1 2 1'
_space_group_IT_number 5
_cell_length_a 7.824
_cell_length_b 14.770
_cell_length_c 8.401
_cell_angle_alpha 90.00
_cell_angle_beta 97.73
_cell_angle_gamma 90.00
loop_
_space_group_symop_operation_xyz
'x,y,z'
'-x,y,-z'
'x+1/2,y+1/2,z'
'-x+1/2,y+1/2,-z'
loop_
_atom_site_label
_atom_site_type_symbol
_atom_site_fract_x
_atom_site_fract_y
_atom_site_fract_z
Cs1 Cs 0.000 0.000 0.000
Sm1 Sm 0.000 0.335 0.500
Hg1 Hg 0.000 0.635 0.500
I1 I 0.164 0.489 0.320
I2 I 0.216 0.201 0.298
I3 I 0.232 0.792 0.217



# PBE-GGA CsSnHg2I, optimized geometry
# Calculated volume in Å³/atom: 45.1
# Formation energy (no corrections) in meV/atom: -368
# Mass density in g cm⁻³: 5.74
# D(E_F) in states/eV/cell: 4.2
data_CsSnHg2I
_space_group_name_H-M_alt 'P 4/m m m'
_space_group_IT_number 123
_space_group_name_Hall '-P 4 2'
_cell_length_a 5.854
_cell_length_b 5.854
_cell_length_c 6.579
_cell_angle_alpha 90.00
_cell_angle_beta 90.00
_cell_angle_gamma 90.00
loop_
_atom_site_label
_atom_site_type_symbol
_atom_site_fract_x
_atom_site_fract_y
_atom_site_fract_z
Cs1 Cs 0.000 0.000 0.000
Sn1 Sn 0.500 0.500 0.500
Hg1 Hg 0.000 0.500 0.500
I1 I 0.500 0.500 0.000



# PBE-GGA Cs3Sn2HgI9, optimized geometry
# Calculated volume in Å³/atom: 47.7
# Formation energy (no corrections) in meV/atom: -875
# Mass density in g cm⁻³: 4.60
# D(E_F) in states/eV/cell: 0.7
data_Cs3Sn2HgI9
_space_group_name_H-M_alt 'P -3 m 1'
_space_group_IT_number 164
_space_group_name_Hall '-P 3 2"'
_cell_length_a 8.7634
_cell_length_b 8.7634
_cell_length_c 10.7469
_cell_angle_alpha 90.00
_cell_angle_beta 90.00
_cell_angle_gamma 120.00
loop_
_atom_site_label
_atom_site_type_symbol
_atom_site_fract_x
_atom_site_fract_y
_atom_site_fract_z
Cs1 Cs 0.0000 0.0000 0.0000
Cs2 Cs 0.3333 0.6667 0.6637
Sn1 Sn 0.3333 0.6667 0.1719
Hg1 Hg 0.0000 0.0000 0.5000
I1 I 0.0000 0.5000 0.0000
I2 I 0.1645 0.3290 0.3348



# PBE-GGA CsSnHgI3, optimized geometry
# Calculated volume in Å³/atom: 54.3
# Formation energy (no corrections) in meV/atom: -708
# Mass density in g cm⁻³: 4.25
# D(E_F) in states/eV/cell: 0.0
data_CsSnHgI3
_space_group_name_H-M_alt 'C 1 2/c 1'
_space_group_IT_number 15
_cell_length_a 10.470
_cell_length_b 16.043
_cell_length_c 7.870
_cell_angle_alpha 90.00
_cell_angle_beta 99.80
_cell_angle_gamma 90.00
loop_
_space_group_symop_operation_xyz
'x,y,z'
'-x,-y,-z'
'-x,y,-z+1/2'
'x,-y,z+1/2'
'x+1/2,y+1/2,z'
'-x+1/2,-y+1/2,-z'
'-x+1/2,y+1/2,-z+1/2'
'x+1/2,-y+1/2,z+1/2'
loop_
_atom_site_label
_atom_site_type_symbol
_atom_site_fract_x
_atom_site_fract_y
_atom_site_fract_z
Cs1 Cs 0.000 0.227 0.250
Sn1 Sn 0.000 0.438 0.750
Hg1 Hg 0.000 0.019 0.750
I1 I 0.000 0.245 0.750
I2 I 0.183 0.430 0.464



# PBE-GGA Cs2SnHgI6, optimized geometry
# Calculated volume in Å³/atom: 46.7
# Formation energy (no corrections) in meV/atom: -844
# Mass density in g cm⁻³: 4.78
# D(E_F) in states/eV/cell: 2.9
data_Cs2SnHgI6
_space_group_name_H-M_alt 'I 4/m m m'
_space_group_IT_number 139
_space_group_name_Hall '-I 4 2'
_cell_length_a 8.693
_cell_length_b 8.693
_cell_length_c 12.367
_cell_angle_alpha 90.00
_cell_angle_beta 90.00
_cell_angle_gamma 90.00
loop_
_atom_site_label
_atom_site_type_symbol
_atom_site_fract_x
_atom_site_fract_y
_atom_site_fract_z
Cs1 Cs 0.000 0.500 0.250
Sn1 Sn 0.000 0.000 0.000
Hg1 Hg 0.000 0.000 0.500
I1 I 0.000 0.000 0.250
I2 I 0.249 0.249 0.500



# PBE-GGA Cs3SnHg2I9, optimized geometry
# Calculated volume in Å³/atom: 46.0
# Formation energy (no corrections) in meV/atom: -820
# Mass density in g cm⁻³: 4.96
# D(E_F) in states/eV/cell: 1.9
data_Cs3SnHg2I9
_space_group_name_H-M_alt 'P -3 m 1'
_space_group_IT_number 164
_space_group_name_Hall '-P 3 2"'
_cell_length_a 8.6684
_cell_length_b 8.6684
_cell_length_c 10.5969
_cell_angle_alpha 90.00
_cell_angle_beta 90.00
_cell_angle_gamma 120.00
loop_
_atom_site_label
_atom_site_type_symbol
_atom_site_fract_x
_atom_site_fract_y
_atom_site_fract_z
Cs1 Cs 0.0000 0.0000 0.0000
Cs2 Cs 0.3333 0.6667 0.6708
Sn1 Sn 0.0000 0.0000 0.5000
Hg1 Hg 0.3333 0.6667 0.1605
I1 I 0.0000 0.5000 0.0000
I2 I 0.1672 0.3343 0.3318



# PBE-GGA Cs2SnHg2I4, optimized geometry
# Calculated volume in Å³/atom: 44.2
# Formation energy (no corrections) in meV/atom: -853
# Mass density in g cm⁻³: 5.40
data_Cs2SnHg2I4
_space_group_name_H-M_alt 'I 4/m m m'
_space_group_IT_number 139
_space_group_name_Hall '-I 4 2'
_cell_length_a 9.215
_cell_length_b 9.215
_cell_length_c 9.373
_cell_angle_alpha 90.00
_cell_angle_beta 90.00
_cell_angle_gamma 90.00
loop_
_atom_site_label
_atom_site_type_symbol
_atom_site_fract_x
_atom_site_fract_y
_atom_site_fract_z
Cs1 Cs 0.000 0.500 0.250
Sn1 Sn 0.000 0.000 0.000
Hg1 Hg 0.000 0.000 0.328
I1 I 0.242 0.242 0.000



# PBE-GGA CsSrHgI5, optimized geometry
# Calculated volume in Å³/atom: 52.5
# Formation energy (no corrections) in meV/atom: -1135
# Mass density in g cm⁻³: 4.17
# D(E_F) in states/eV/cell: 0.0
data_CsSrHgI5
_space_group_name_H-M_alt 'C 1 2/c 1'
_space_group_IT_number 15
_cell_length_a 10.912
_cell_length_b 14.351
_cell_length_c 11.802
_cell_angle_alpha 90.00
_cell_angle_beta 114.53
_cell_angle_gamma 90.00
loop_
_space_group_symop_operation_xyz
'x,y,z'
'-x,-y,-z'
'-x,y,-z+1/2'
'x,-y,z+1/2'
'x+1/2,y+1/2,z'
'-x+1/2,-y+1/2,-z'
'-x+1/2,y+1/2,-z+1/2'
'x+1/2,-y+1/2,z+1/2'
loop_
_atom_site_label
_atom_site_type_symbol
_atom_site_fract_x
_atom_site_fract_y
_atom_site_fract_z
Cs1 Cs 0.000 0.150 0.250
Sr1 Sr 0.000 0.500 0.000
Hg1 Hg 0.000 0.184 0.750
I1 I 0.000 0.415 0.250
I2 I 0.117 0.287 0.612
I3 I 0.185 0.067 0.946